Record 1
# PBE-GGA CsPtSeBr2, optimized geometry
data_CsPtSeBr2
_chemical_formula_sum 'Cs1 Pt1 Se1 Br2'
_cell_length_a 6.562
_cell_length_b 6.562
_cell_length_c 5.872
_cell_angle_alpha 90.00
_cell_angle_beta 90.00
_cell_angle_gamma 90.00
_space_group_name_H-M_alt 'P 1'
_space_group_IT_number 1
_space_group_name_Hall 'P 1'
loop_
_atom_site_label
_atom_site_type_symbol
_atom_site_fract_x
_atom_site_fract_y
_atom_site_fract_z
Cs1 Cs 0.000 0.000 0.000
Pt1 Pt 0.500 0.500 0.500
Se1 Se 0.000 0.000 0.500
Br1 Br 0.000 0.500 0.000
Br2 Br 0.500 0.000 0.000
# - Polymorph energy (0 for the lowest one): 1705.5 meV/atom
# - SG: P4/mmm, No. 123
# - Mass density: 3722 kg/m³
# - Energy relative to the elements, uncorrected: 5.57 eV per formula unit
# - Size of the total moment: 2.04 μB/f.u.
# - E: -0.060 Ha/atom



Record 2
# PBE-GGA La3PbO, optimized geometry
data_La3PbO
_chemical_formula_sum 'La6 Pb2 O2'
_cell_length_a 8.477
_cell_length_b 8.477
_cell_length_c 8.477
_cell_angle_alpha 54.03
_cell_angle_beta 54.03
_cell_angle_gamma 54.03
_space_group_name_H-M_alt 'P 1'
_space_group_IT_number 1
_space_group_name_Hall 'P 1'
loop_
_atom_site_label
_atom_site_type_symbol
_atom_site_fract_x
_atom_site_fract_y
_atom_site_fract_z
La1 La 0.043 0.750 0.457
La2 La 0.250 0.543 0.957
La3 La 0.457 0.043 0.750
La4 La 0.543 0.957 0.250
La5 La 0.750 0.457 0.043
La6 La 0.957 0.250 0.543
Pb1 Pb 0.000 0.000 0.000
Pb2 Pb 0.500 0.500 0.500
O1 O 0.250 0.250 0.250
O2 O 0.750 0.750 0.750
# - SG: R-3c, No. 167
# - Mass density: 5732 kg/m³
# - Energy relative to the elements, uncorrected: -5.73 eV per formula unit
# - Size of the total moment: 0.98 μB/f.u.
# - E: -0.214 Ha/atom



Record 3
# PBE-GGA MgP4, optimized geometry
data_MgP4
_chemical_formula_sum 'Mg2 P8'
_cell_length_a 5.187
_cell_length_b 5.119
_cell_length_c 7.594
_cell_angle_alpha 90.00
_cell_angle_beta 98.56
_cell_angle_gamma 90.00
_space_group_name_H-M_alt 'P 1'
_space_group_IT_number 1
_space_group_name_Hall 'P 1'
loop_
_atom_site_label
_atom_site_type_symbol
_atom_site_fract_x
_atom_site_fract_y
_atom_site_fract_z
Mg1 Mg 0.000 0.000 0.000
Mg2 Mg 0.000 0.500 0.500
P1 P 0.253 0.208 0.754
P2 P 0.253 0.292 0.254
P3 P 0.397 0.609 0.100
P4 P 0.397 0.891 0.600
P5 P 0.603 0.109 0.400
P6 P 0.603 0.391 0.900
P7 P 0.747 0.708 0.746
P8 P 0.747 0.792 0.246
# - SG: P2_1/c, No. 14
# - Mass density: 2468 kg/m³
# - DFT formation energy: -0.31 eV/atom
# - Size of the total moment: 0.00 μB/f.u.
# - E: -0.182 Ha/atom



Record 4
# PBE-GGA SnAs2IBr, optimized geometry
data_SnAs2IBr
_chemical_formula_sum 'Sn1 As2 I1 Br1'
_cell_length_a 5.490
_cell_length_b 5.490
_cell_length_c 5.426
_cell_angle_alpha 90.00
_cell_angle_beta 90.00
_cell_angle_gamma 90.00
_space_group_name_H-M_alt 'P 1'
_space_group_IT_number 1
_space_group_name_Hall 'P 1'
loop_
_atom_site_label
_atom_site_type_symbol
_atom_site_fract_x
_atom_site_fract_y
_atom_site_fract_z
Sn1 Sn 0.000 0.000 0.000
As1 As 0.000 0.500 0.000
As2 As 0.500 0.000 0.000
I1 I 0.500 0.500 0.500
Br1 Br 0.000 0.000 0.500
# - Polymorph energy (0 for the lowest one): 0.0 meV/atom
# - SG: P4/mmm, No. 123
# - Mass density: 4826 kg/m³
# - Energy relative to the elements, uncorrected: 2.68 eV per formula unit
# - Size of the total moment: 1.77 μB/f.u.
# - E: -0.102 Ha/atom